LiNbBr2 | PBE | relaxed

a = 4.692 Å, b = 4.692 Å, c = 4.692 Å
α = 60.00°, β = 60.00°, γ = 60.00°
Element x y z (fractional)
Nb 0.500 0.500 0.500
Li 0.000 0.000 0.000
Br 0.250 0.250 0.250
Br 0.750 0.750 0.750

## Properties
- D(E_F): 0.000 states/eV per atom
- Formation energy without anion corrections: -0.1041 eV/atom